VASP calculation (PBE) on a relaxed Nd2Dy7In2 crystal.

Calculated values
Formation energy in eV/atom: -0.0421
DOS at the Fermi energy in states/eV/cell: 14.17
Space group: Imm2 (44)
M_tot in μB/f.u.: 0.001

abc: 11.2032 11.2032 11.2032
angles: 161.26 55.15 128.64
Element x y z (fractional)
Nd 0.0000 0.0000 0.0000
Nd 0.6537 0.1537 0.5000
Dy 0.9998 0.6370 0.3628
Dy 0.2743 0.6370 0.6372
Dy 0.3387 0.3387 0.0000
Dy 0.3436 0.0060 0.3376
Dy 0.6684 0.0060 0.6624
Dy 0.6827 0.8143 0.8684
Dy 0.9459 0.8143 0.1316
In 0.0504 0.2953 0.7551
In 0.5402 0.2953 0.2449



VASP calculation (PBE) on a relaxed Dy2NiH crystal.

Calculated values
DOS at the Fermi energy in states/eV/cell: 2.77
Energy in eV per atom: -4.889
Space group: R-3m (166)
M_tot in μB/f.u.: 0.000

abc: 6.3452 6.3452 6.3452
angles: 34.96 34.96 34.96
Element x y z (fractional)
Dy 0.2447 0.2447 0.2447
Dy 0.7553 0.7553 0.7553
Ni 0.0000 0.0000 0.0000
H 0.5000 0.5000 0.5000



VASP calculation (PBE) on a relaxed InCo2Pt crystal.

Calculated values
Formation energy in eV/atom: 0.0135
DOS at the Fermi energy in states/eV/cell: 6.95
Space group: P4/mmm (123)
M_tot in μB/f.u.: 2.960

abc: 3.8703 3.8703 3.8735
angles: 90.00 90.00 90.00
Element x y z (fractional)
In 0.0000 0.0000 0.0000
Co 0.0000 0.5000 0.5000
Co 0.5000 0.0000 0.5000
Pt 0.5000 0.5000 0.0000



VASP calculation (PBE) on a relaxed CaNiRhBr2 crystal.

Calculated values
Uncorrected formation energy in eV/atom: 0.626
DOS at the Fermi energy in states/eV/cell: 14.93
Space group: P4/mmm (123)
M_tot in μB/f.u.: 2.656

abc: 5.4295 5.4295 5.3847
angles: 90.00 90.00 90.00
Element x y z (fractional)
Ca 0.0000 0.0000 0.0000
Ni 0.0000 0.0000 0.5000
Rh 0.5000 0.5000 0.5000
Br 0.0000 0.5000 0.0000
Br 0.5000 0.0000 0.0000



VASP calculation (PBE) on a relaxed PIO2 crystal.

Calculated values
Uncorrected formation energy in eV/atom: -0.441
DOS at the Fermi energy in states/eV/cell: 1.77
Space group: R-3m (166)
M_tot in μB/f.u.: 0.000

abc: 9.0856 9.0856 9.0856
angles: 20.51 20.51 20.51
Element x y z (fractional)
P 0.0000 0.0000 0.0000
I 0.5000 0.5000 0.5000
O 0.0554 0.0554 0.0554
O 0.9446 0.9446 0.9446



VASP calculation (PBE) on a relaxed NaCu2O3 crystal.

Calculated values
Uncorrected formation energy in eV/atom: -0.783
DOS at the Fermi energy in states/eV/cell: 5.66
Space group: Cmmm (65)
M_tot in μB/f.u.: 0.018

abc: 6.1046 6.1046 3.4123
angles: 90.00 90.00 144.14
Element x y z (fractional)
Na 0.0000 0.0000 0.0000
Cu 0.3423 0.6577 0.5000
Cu 0.6577 0.3423 0.5000
O 0.1801 0.8199 0.5000
O 0.5000 0.5000 0.5000
O 0.8199 0.1801 0.5000



VASP calculation (PBE) on a relaxed Cs2GaI6O crystal.

Calculated values
Uncorrected formation energy in eV/atom: -0.576
DOS at the Fermi energy in states/eV/cell: 6.08
Space group: I4/mmm (139)
M_tot in μB/f.u.: 0.000

abc: 8.7454 8.7454 8.7454
angles: 128.68 128.68 75.53
Element x y z (fractional)
Cs 0.2500 0.7500 0.5000
Cs 0.7500 0.2500 0.5000
Ga 0.0000 0.0000 0.0000
I 0.2127 0.2127 0.0000
I 0.2686 0.2686 0.5371
I 0.2686 0.7314 0.0000
I 0.7314 0.2686 0.0000
I 0.7314 0.7314 0.4629
I 0.7873 0.7873 0.0000
O 0.5000 0.5000 0.0000



VASP calculation (PBE) on a relaxed LaRuSe crystal.

Calculated values
Uncorrected formation energy in eV/atom: -0.359
DOS at the Fermi energy in states/eV/cell: 4.18
Space group: I4mm (107)
M_tot in μB/f.u.: 0.026

abc: 5.3366 5.3366 5.3366
angles: 135.91 135.91 64.12
Element x y z (fractional)
La 0.0000 0.0000 0.0000
Ru 0.4068 0.4068 0.0000
Se 0.6726 0.6726 0.0000